Below is a relaxed Ti2VCdW crystal, with properties calculated at the PBE level.

Cell lengths 4.326, 4.326, 4.956 Å; angles 90.00, 90.00, 90.00 degrees
Space group P4/mmm (No. 123)
Asymmetric unit:
Ti1 0.000 0.500 0.000 (multiplicity 2)
V1 0.000 0.000 0.000 (multiplicity 1)
Cd1 0.000 0.000 0.500 (multiplicity 1)
W1 0.500 0.500 0.500 (multiplicity 1)

Values from the calculation:
N(E_F): 1.134 states/eV/atom
total moment: 0.0 μB/f.u.
ΔH_f (0 K): 1.258 eV/atom
total DFT energy (no corrections): -32.5 eV for the cell shown